Ca2Pm2CuPd4 | GGA-PBE | relaxed

## Properties
Total energy, eV per atom: -4.710
Total moment, μB per atom: 0.000
Calculated volume, Å³/f.u.: 201

a b c (Å): 6.4198 6.4198 6.4198
angles (deg): 113.77 113.77 101.17
Last column: nearest neighbours and their distance in Å.
Sites, in units of the cell vectors:
Ca: 0.1937 0.1937 0.0000  1 Cu 2.50
Ca: 0.8063 0.8063 0.0000  1 Cu 2.50
Pm: 0.2500 0.7500 0.5000  8 Pd 3.21, 4 Ca 3.54
Pm: 0.7500 0.2500 0.5000  8 Pd 3.21, 4 Ca 3.54
Cu: 0.5000 0.5000 0.0000  4 Pd 2.49, 2 Ca 2.50
Pd: 0.2486 0.2486 0.4972  1 Cu 2.49
Pd: 0.2486 0.7514 0.0000  1 Cu 2.49
Pd: 0.7514 0.2486 0.0000  1 Cu 2.49
Pd: 0.7514 0.7514 0.5028  1 Cu 2.49